The following is a DFT calculation (PBE+U) of crystalline Sr3VF at its relaxed geometry.

The calculation puts the energy relative to the lowest polymorph listed for this composition at 0 meV per atom. The total magnetization is 3.7 μB per formula unit.

The space group is Pm-3m (No. 221) and the conventional cell measures 5.4328, 5.4328 and 5.4328 Å, with angles of 90.00, 90.00 and 90.00 degrees. The inequivalent atoms are Sr at (0.0000, 0.0000, 0.5000), V at (0.5000, 0.5000, 0.5000) and F at (0.0000, 0.0000, 0.0000).